(1)
Below is a relaxed Er7Tm3Tl crystal, with properties calculated at the PBE-GGA level.

The structure in CIF format:
```
data_Er7Tm3Tl
_cell_length_a 6.8862
_cell_length_b 6.8862
_cell_length_c 8.4167
_cell_angle_alpha 90.00
_cell_angle_beta 90.00
_cell_angle_gamma 120.00
_space_group_name_H-M_alt 'P 3 m 1'
_space_group_IT_number 156
_space_group_name_Hall 'P 3 -2"'
loop_
_atom_site_label
_atom_site_fract_x
_atom_site_fract_y
_atom_site_fract_z
Er1 0.0000 0.0000 0.0000
Er2 0.1634 0.3267 0.3353
Er3 0.5011 0.0022 0.0099
Tm1 0.3304 0.1652 0.6733
Tl1 0.6667 0.3333 0.3394
```

Computed properties:
V = 31.42 A^3/atom

(2)
Below is a relaxed DyMn2C2 crystal, with properties calculated at the PBE-GGA level.

The structure in CIF format:
```
data_DyMn2C2
_cell_length_a 6.2013
_cell_length_b 8.3555
_cell_length_c 8.9218
_cell_angle_alpha 90.00
_cell_angle_beta 90.00
_cell_angle_gamma 90.00
_space_group_name_H-M_alt 'F d d d'
_space_group_IT_number 70
loop_
_space_group_symop_operation_xyz
'x,y,z'
'-x,-y,-z'
'-x+1/4,-y+1/4,z'
'x+1/4,y+1/4,-z'
'x,-y+1/4,-z+1/4'
'-x,y+1/4,z+1/4'
'-x+1/4,y,-z+1/4'
'x+1/4,-y,z+1/4'
'x,y+1/2,z+1/2'
'-x,-y+1/2,-z+1/2'
'-x+1/4,-y+3/4,z+1/2'
'x+1/4,y+3/4,-z+1/2'
'x,-y+3/4,-z+3/4'
'-x,y+3/4,z+3/4'
'-x+1/4,y+1/2,-z+3/4'
'x+1/4,-y+1/2,z+3/4'
'x+1/2,y,z+1/2'
'-x+1/2,-y,-z+1/2'
'-x+3/4,-y+1/4,z+1/2'
'x+3/4,y+1/4,-z+1/2'
'x+1/2,-y+1/4,-z+3/4'
'-x+1/2,y+1/4,z+3/4'
'-x+3/4,y,-z+3/4'
'x+3/4,-y,z+3/4'
'x+1/2,y+1/2,z'
'-x+1/2,-y+1/2,-z'
'-x+3/4,-y+3/4,z'
'x+3/4,y+3/4,-z'
'x+1/2,-y+3/4,-z+1/4'
'-x+1/2,y+3/4,z+1/4'
'-x+3/4,y+1/2,-z+1/4'
'x+3/4,-y+1/2,z+1/4'
loop_
_atom_site_label
_atom_site_fract_x
_atom_site_fract_y
_atom_site_fract_z
Dy1 0.1250 0.1250 0.1250
Mn1 0.1250 0.1250 0.4890
C1 0.1250 0.3163 0.6250
```

Computed properties:
V = 11.56 A^3/atom

(3)
Below is a relaxed EuMg crystal, with properties calculated at the PBE-GGA level.

The structure in CIF format:
```
data_EuMg
_cell_length_a 3.9005
_cell_length_b 4.0412
_cell_length_c 8.2668
_cell_angle_alpha 90.00
_cell_angle_beta 90.01
_cell_angle_gamma 90.00
_space_group_name_H-M_alt 'P 1 21/m 1'
_space_group_IT_number 11
_space_group_name_Hall '-P 2yb'
loop_
_atom_site_label
_atom_site_fract_x
_atom_site_fract_y
_atom_site_fract_z
Eu1 0.2497 0.2500 0.1589
Mg1 0.2513 0.2500 0.5929
```

Computed properties:
V = 32.58 A^3/atom
Energy above the most stable polymorph in this dataset = 6.7 kJ per mole of atoms

(4)
Below is a relaxed CaMnP2 crystal, with properties calculated at the PBE-GGA level.

The structure in CIF format:
```
data_CaMnP2
_cell_length_a 3.7870
_cell_length_b 3.7870
_cell_length_c 5.8285
_cell_angle_alpha 90.00
_cell_angle_beta 90.00
_cell_angle_gamma 120.00
_space_group_name_H-M_alt 'P -6 m 2'
_space_group_IT_number 187
_space_group_name_Hall 'P -6 2'
loop_
_atom_site_label
_atom_site_fract_x
_atom_site_fract_y
_atom_site_fract_z
Ca1 0.0000 0.0000 0.0000
Mn1 0.6667 0.3333 0.5000
P1 0.3333 0.6667 0.3109
```

Computed properties:
V = 18.10 A^3/atom
Energy above the most stable polymorph in this dataset = 11.9 kJ per mole of atoms

| no. | ΔE_f (kJ per mole of atoms) |
| --- | --- |
| 1 | 15 |
| 2 | -27 |
| 3 | -2 |
| 4 | -61 |